Entry 1:
# CoSiSe2 | the Alexandria database | PBE | optimized geometry
data_CoSiSe2
_symmetry_space_group_name_H-M 'I -4 m 2'
_symmetry_Int_Tables_number 119
_symmetry_space_group_name_Hall 'I -4 -2'
_cell_length_a 3.517
_cell_length_b 3.517
_cell_length_c 13.184
_cell_angle_alpha 90.00
_cell_angle_beta 90.00
_cell_angle_gamma 90.00
loop_
_atom_site_label
_atom_site_type_symbol
_atom_site_fract_x
_atom_site_fract_y
_atom_site_fract_z
Co1 Co 0.000 0.000 0.000
Si1 Si 0.000 0.500 0.250
Se1 Se 0.000 0.000 0.500
Se2 Se 0.000 0.500 0.750
# final energy: -4.408 eV per atom

Entry 2:
# Ti2BH2 | the Alexandria database | PBE | optimized geometry
data_Ti2BH2
_symmetry_space_group_name_H-M 'F d d d'
_symmetry_Int_Tables_number 70
_cell_length_a 6.107
_cell_length_b 7.423
_cell_length_c 8.002
_cell_angle_alpha 90.00
_cell_angle_beta 90.00
_cell_angle_gamma 90.00
loop_
_symmetry_equiv_pos_as_xyz
'x,y,z'
'-x,-y,-z'
'-x+1/4,-y+1/4,z'
'x+1/4,y+1/4,-z'
'x,-y+1/4,-z+1/4'
'-x,y+1/4,z+1/4'
'-x+1/4,y,-z+1/4'
'x+1/4,-y,z+1/4'
'x,y+1/2,z+1/2'
'-x,-y+1/2,-z+1/2'
'-x+1/4,-y+3/4,z+1/2'
'x+1/4,y+3/4,-z+1/2'
'x,-y+3/4,-z+3/4'
'-x,y+3/4,z+3/4'
'-x+1/4,y+1/2,-z+3/4'
'x+1/4,-y+1/2,z+3/4'
'x+1/2,y,z+1/2'
'-x+1/2,-y,-z+1/2'
'-x+3/4,-y+1/4,z+1/2'
'x+3/4,y+1/4,-z+1/2'
'x+1/2,-y+1/4,-z+3/4'
'-x+1/2,y+1/4,z+3/4'
'-x+3/4,y,-z+3/4'
'x+3/4,-y,z+3/4'
'x+1/2,y+1/2,z'
'-x+1/2,-y+1/2,-z'
'-x+3/4,-y+3/4,z'
'x+3/4,y+3/4,-z'
'x+1/2,-y+3/4,-z+1/4'
'-x+1/2,y+3/4,z+1/4'
'-x+3/4,y+1/2,-z+1/4'
'x+3/4,-y+1/2,z+1/4'
loop_
_atom_site_label
_atom_site_type_symbol
_atom_site_fract_x
_atom_site_fract_y
_atom_site_fract_z
Ti1 Ti 0.125 0.125 0.356
B1 B 0.125 0.125 0.625
H1 H 0.125 0.010 0.125
# final energy: -6.157 eV per atom

Entry 3:
# NaLiAc2Te4 | the Alexandria database | PBE | optimized geometry
data_NaLiAc2Te4
_symmetry_space_group_name_H-M 'P 1 2/m 1'
_symmetry_Int_Tables_number 10
_cell_length_a 7.836
_cell_length_b 4.742
_cell_length_c 8.215
_cell_angle_alpha 90.00
_cell_angle_beta 110.48
_cell_angle_gamma 90.00
loop_
_symmetry_equiv_pos_as_xyz
'x,y,z'
'-x,-y,-z'
'-x,y,-z'
'x,-y,z'
loop_
_atom_site_label
_atom_site_type_symbol
_atom_site_fract_x
_atom_site_fract_y
_atom_site_fract_z
Na1 Na 0.000 0.000 0.000
Li1 Li 0.000 0.500 0.500
Ac1 Ac 0.500 0.000 0.500
Ac2 Ac 0.500 0.500 0.000
Te1 Te 0.239 0.000 0.743
Te2 Te 0.242 0.500 0.251
# final energy: -4.366 eV per atom